DFT (GGA-PBE) results for a relaxed structure of K4BaTi6S20O.

Cell lengths 9.5222, 9.5222, 18.8267 Å; angles 90.00, 90.00, 120.00 degrees
With the nearest neighbours (Å) after each atom.
Space group P6_322 (No. 182)
One atom of each set of equivalent atoms:
1 K 0.0000 0.3431 0.0000  10 S 3.28-3.68
2 K 0.3333 0.6667 0.2500  12 S 3.37-3.47
3 Ba 0.0000 0.0000 0.2500  12 S 3.39-3.46
4 Ti 0.1357 0.4687 0.6798  1 O 2.30, 6 S 2.37-2.55
5 S 0.0240 0.2296 0.6082  1 S 2.07
6 S 0.0356 0.3679 0.7958  3 Ti 2.38-2.55
7 S 0.1036 0.4562 0.3902  1 S 2.07
8 S 0.3333 0.6667 0.5938  3 Ti 2.48
9 O 0.3333 0.6667 0.7500  6 Ti 2.30

Computed properties:
- energy relative to the elements, uncorrected (eV/atom) = -1.24